Entry 1:
Compound: Li2PuSeO6
Source: the Alexandria database
Functional: PBE
Structure: relaxed

## Properties
Its space-group type is No. 146. As for the energy relative to the elements, uncorrected: -17.84 eV per formula unit.

abc: 5.373 5.372 5.933
angles: 63.08 63.08 60.00
Site moments in Bohr magnetons follow the coordinates.
Sites, in units of the cell vectors:
Li  0.577  0.577  0.269  -0.01
Li  0.017  0.017  0.948  0.00
Pu  0.822  0.822  0.533  2.56
Se  0.345  0.345  0.964  -0.01
O  0.612  0.189  0.300  -0.14
O  0.189  0.899  0.299  -0.14
O  0.899  0.612  0.300  -0.14
O  0.409  0.689  0.800  -0.04
O  0.689  0.101  0.800  -0.04
O  0.101  0.409  0.800  -0.04



Entry 2:
Compound: LiPuSiO5
Source: the Alexandria database
Functional: PBE
Structure: relaxed

## Properties
Its space-group type is No. 15. As for the energy relative to the elements, uncorrected: -21.11 eV per formula unit.

abc: 5.726 5.726 7.850
angles: 109.51 109.51 93.07
Site moments in Bohr magnetons follow the coordinates.
Sites, in units of the cell vectors:
Li  0.325  0.675  0.250  0.00
Li  0.675  0.325  0.750  0.00
Pu  0.000  0.000  0.500  3.38
Pu  0.000  0.000  0.000  3.38
Si  0.641  0.359  0.250  0.00
Si  0.359  0.641  0.750  0.00
O  0.089  0.911  0.250  -0.15
O  0.911  0.089  0.750  -0.15
O  0.767  0.259  0.084  -0.06
O  0.233  0.741  0.916  -0.06
O  0.741  0.233  0.416  -0.06
O  0.259  0.767  0.584  -0.06
O  0.698  0.670  0.349  -0.05
O  0.302  0.330  0.651  -0.05
O  0.330  0.302  0.151  -0.05
O  0.670  0.698  0.849  -0.05



Entry 3:
Compound: LiSmPu2O8
Source: the Alexandria database
Functional: PBE
Structure: relaxed

## Properties
Its space-group type is No. 119. As for the energy relative to the elements, uncorrected: -26.34 eV per formula unit.

abc: 6.359 6.359 6.359
angles: 109.08 109.08 110.25
Site moments in Bohr magnetons follow the coordinates.
Sites, in units of the cell vectors:
Li  0.250  0.750  0.500  0.00
Sm  0.000  0.000  0.000  0.00
Pu  0.750  0.250  0.500  2.67
Pu  0.500  0.500  0.000  2.54
O  0.372  0.060  0.311  -0.14
O  0.298  0.474  0.176  -0.17
O  0.298  0.123  0.824  -0.17
O  0.749  0.060  0.689  -0.14
O  0.877  0.702  0.176  -0.17
O  0.940  0.251  0.311  -0.14
O  0.940  0.628  0.689  -0.14
O  0.526  0.702  0.824  -0.17



Entry 4:
Compound: LiSmPuO6
Source: the Alexandria database
Functional: PBE
Structure: relaxed

## Properties
Its space-group type is No. 149. As for the energy relative to the elements, uncorrected: -21.78 eV per formula unit.

abc: 5.035 5.340 5.340
angles: 120.00 90.00 90.00
Site moments in Bohr magnetons follow the coordinates.
Sites, in units of the cell vectors:
Li  0.500  0.000  0.000  0.00
Sm  0.000  0.333  0.667  0.00
Pu  0.500  0.667  0.333  -0.12
O  0.720  0.676  0.644  0.01
O  0.720  0.356  0.032  0.01
O  0.720  0.968  0.324  0.01
O  0.280  0.356  0.324  0.01
O  0.280  0.676  0.032  0.01
O  0.280  0.968  0.644  0.01



Entry 5:
Compound: LiSmPuO5
Source: the Alexandria database
Functional: PBE
Structure: relaxed

## Properties
Its space-group type is No. 15. As for the energy relative to the elements, uncorrected: -21.91 eV per formula unit.

abc: 5.939 5.939 8.112
angles: 108.72 108.72 103.96
Site moments in Bohr magnetons follow the coordinates.
Sites, in units of the cell vectors:
Li  0.693  0.307  0.250  0.00
Li  0.307  0.693  0.750  0.00
Sm  0.313  0.687  0.250  0.01
Sm  0.687  0.313  0.750  0.01
Pu  0.000  0.000  0.500  2.37
Pu  0.000  0.000  0.000  2.37
O  0.063  0.937  0.250  -0.08
O  0.937  0.063  0.750  -0.08
O  0.875  0.314  0.071  -0.06
O  0.125  0.686  0.929  -0.06
O  0.686  0.125  0.429  -0.06
O  0.314  0.875  0.571  -0.06
O  0.732  0.663  0.380  -0.09
O  0.268  0.337  0.620  -0.09
O  0.337  0.268  0.120  -0.09
O  0.663  0.732  0.880  -0.09



Entry 6:
Compound: Li2PuSnO8
Source: the Alexandria database
Functional: PBE
Structure: relaxed

## Properties
Its space-group type is No. 119. As for the energy relative to the elements, uncorrected: -16.78 eV per formula unit.

abc: 5.843 5.843 5.843
angles: 113.13 113.13 102.39
Site moments in Bohr magnetons follow the coordinates.
Sites, in units of the cell vectors:
Li  0.750  0.250  0.500  0.00
Li  0.500  0.500  0.000  0.00
Pu  0.250  0.750  0.500  -0.52
Sn  0.000  0.000  0.000  -0.03
O  0.355  0.044  0.311  0.43
O  0.293  0.501  0.208  0.11
O  0.293  0.085  0.792  0.11
O  0.734  0.044  0.689  0.43
O  0.915  0.707  0.208  0.11
O  0.956  0.266  0.311  0.43
O  0.956  0.645  0.689  0.43
O  0.499  0.707  0.792  0.11



Entry 7:
Compound: LiPuSnO6
Source: the Alexandria database
Functional: PBE
Structure: relaxed

## Properties
Its space-group type is No. 163. As for the energy relative to the elements, uncorrected: -16.75 eV per formula unit.

abc: 5.413 5.413 9.507
angles: 90.00 90.00 120.00
Site moments in Bohr magnetons follow the coordinates.
Sites, in units of the cell vectors:
Li  0.000  0.000  0.000  0.00
Li  0.000  0.000  0.500  0.00
Pu  0.667  0.333  0.250  1.43
Pu  0.333  0.667  0.750  1.43
Sn  0.333  0.667  0.250  0.00
Sn  0.667  0.333  0.750  0.00
O  0.653  0.642  0.134  -0.07
O  0.989  0.347  0.134  -0.07
O  0.347  0.989  0.634  -0.07
O  0.011  0.653  0.866  -0.07
O  0.358  0.347  0.366  -0.07
O  0.989  0.642  0.366  -0.07
O  0.642  0.989  0.866  -0.07
O  0.653  0.011  0.366  -0.07
O  0.011  0.358  0.634  -0.07
O  0.358  0.011  0.134  -0.07
O  0.642  0.653  0.634  -0.07
O  0.347  0.358  0.866  -0.07



Entry 8:
Compound: LiPuSnO5
Source: the Alexandria database
Functional: PBE
Structure: relaxed

## Properties
Its space-group type is No. 15. As for the energy relative to the elements, uncorrected: -15.91 eV per formula unit.

abc: 5.949 5.949 8.206
angles: 105.79 105.79 106.92
Site moments in Bohr magnetons follow the coordinates.
Sites, in units of the cell vectors:
Li  0.697  0.303  0.250  0.00
Li  0.303  0.697  0.750  0.00
Pu  0.000  0.000  0.500  1.39
Pu  0.000  0.000  0.000  1.39
Sn  0.308  0.692  0.250  -0.02
Sn  0.692  0.308  0.750  -0.02
O  0.084  0.916  0.250  -0.05
O  0.916  0.084  0.750  -0.05
O  0.922  0.304  0.104  -0.08
O  0.078  0.696  0.896  -0.08
O  0.696  0.078  0.396  -0.08
O  0.304  0.922  0.604  -0.08
O  0.785  0.658  0.418  -0.07
O  0.215  0.342  0.582  -0.07
O  0.342  0.215  0.082  -0.07
O  0.658  0.785  0.918  -0.07